(a)
Be2CdPd2 at its PBEsol-relaxed geometry. Source: Alexandria via LeMat-Bulk, functional SCAN.

Its density is 9059 kg/m3.

The space group is P4/mbm (No. 127) and the conventional cell measures 6.713, 6.713 and 2.793 Å, with angles of 90.00, 90.00 and 90.00 degrees. The asymmetric unit holds Be at (0.125, 0.375, 0.000), Cd at (0.000, 0.000, 0.000) and Pd at (0.162, 0.662, 0.500).



(b)
Be2CdPd2 at its PBEsol-relaxed geometry. Source: Alexandria via LeMat-Bulk, functional SCAN.

Its density is 8325 kg/m3.

The space group is I4/mmm (No. 139) and the conventional cell measures 3.368, 3.368 and 12.075 Å, with angles of 90.00, 90.00 and 90.00 degrees. The asymmetric unit holds Be at (0.000, 0.500, 0.250), Cd at (0.000, 0.000, 0.000) and Pd at (0.000, 0.000, 0.380).



If you had to name the least stable structure above, which would it be? It would be (b).